[1]
# Ba2MgTcSe6, relaxed, DFT PBE-GGA
# **Theoretical density**: 5.460 Mg/m³
# **Total energy**: -46.11 eV per cell
# **Total magnetic moment**: 1.7 μB per formula unit
data_Ba2MgTcSe6
_cell_length_a 7.2081
_cell_length_b 7.2081
_cell_length_c 7.2088
_cell_angle_alpha 120.01
_cell_angle_beta 120.01
_cell_angle_gamma 59.99
_symmetry_space_group_name_H-M 'P 1'
_symmetry_Int_Tables_number 1
_symmetry_space_group_name_Hall 'P 1'
loop_
_atom_site_label
_atom_site_fract_x
_atom_site_fract_y
_atom_site_fract_z
Ba1 0.2501 0.2501 0.2500
Ba2 0.7499 0.7499 0.7500
Mg1 0.0000 0.0000 0.5000
Tc1 0.5000 0.5000 0.0000
Se1 0.2530 0.7448 0.2448
Se2 0.2541 0.2541 0.7519
Se3 0.2552 0.7470 0.7552
Se4 0.7448 0.2530 0.2448
Se5 0.7459 0.7459 0.2481
Se6 0.7470 0.2552 0.7552

[2]
# BaTmMgSe3, relaxed, DFT PBE-GGA
# **Theoretical density**: 5.750 Mg/m³
# **Total energy**: -55.42 eV per cell
# **Total magnetic moment**: 0.5 μB per formula unit
data_BaTmMgSe3
_cell_length_a 7.5867
_cell_length_b 7.5867
_cell_length_c 10.7227
_cell_angle_alpha 90.00
_cell_angle_beta 90.00
_cell_angle_gamma 147.92
_symmetry_space_group_name_H-M 'P 1'
_symmetry_Int_Tables_number 1
_symmetry_space_group_name_Hall 'P 1'
loop_
_atom_site_label
_atom_site_fract_x
_atom_site_fract_y
_atom_site_fract_z
Ba1 0.2502 0.7498 0.7500
Ba2 0.7498 0.2502 0.2500
Tm1 0.0000 0.0000 0.0000
Tm2 0.0000 0.0000 0.5000
Mg1 0.4682 0.5318 0.2500
Mg2 0.5318 0.4682 0.7500
Se1 0.0722 0.9278 0.2500
Se2 0.3670 0.6330 0.0565
Se3 0.3670 0.6330 0.4435
Se4 0.6330 0.3670 0.5565
Se5 0.6330 0.3670 0.9435
Se6 0.9278 0.0722 0.7500

Please write out number 2 again, unchanged.
# BaTmMgSe3, relaxed, DFT PBE-GGA
# **Theoretical density**: 5.750 Mg/m³
# **Total energy**: -55.42 eV per cell
# **Total magnetic moment**: 0.5 μB per formula unit
data_BaTmMgSe3
_cell_length_a 7.5867
_cell_length_b 7.5867
_cell_length_c 10.7227
_cell_angle_alpha 90.00
_cell_angle_beta 90.00
_cell_angle_gamma 147.92
_symmetry_space_group_name_H-M 'P 1'
_symmetry_Int_Tables_number 1
_symmetry_space_group_name_Hall 'P 1'
loop_
_atom_site_label
_atom_site_fract_x
_atom_site_fract_y
_atom_site_fract_z
Ba1 0.2502 0.7498 0.7500
Ba2 0.7498 0.2502 0.2500
Tm1 0.0000 0.0000 0.0000
Tm2 0.0000 0.0000 0.5000
Mg1 0.4682 0.5318 0.2500
Mg2 0.5318 0.4682 0.7500
Se1 0.0722 0.9278 0.2500
Se2 0.3670 0.6330 0.0565
Se3 0.3670 0.6330 0.4435
Se4 0.6330 0.3670 0.5565
Se5 0.6330 0.3670 0.9435
Se6 0.9278 0.0722 0.7500